Record 1
Cs2ThMoO6, relaxed, DFT PBE with a Hubbard U; final energy = -68.5 eV per cell; symmetry = Fm-3m, No. 225
1.0
-1.3596 -3.2503 5.0429
5.9893 -0.4333 1.3360
-2.5630 5.5236 -0.8837
Cs Th Mo O
2 1 1 6
Direct
0.7499 0.2504 0.4998
0.2499 0.7504 0.4998
0.5000 0.5005 0.9999
0.9999 0.0004 0.9999
0.7723 0.7728 0.9997
0.7724 0.7729 0.5449
0.2275 0.2280 0.9998
0.7723 0.2280 0.9998
0.2273 0.2278 0.4546
0.2275 0.7727 0.9997


Record 2
CsTh2MoO8, relaxed, DFT PBE with a Hubbard U; final energy = -92.1 eV per cell; symmetry = P-1, No. 2
1.0
5.5439 -0.6807 -0.2008
-0.5733 5.2080 0.7466
-0.3427 1.4780 7.2628
Cs Th Mo O
1 2 1 8
Direct
0.0000 0.0000 0.5000
0.5552 0.3678 0.7931
0.4448 0.6322 0.2069
0.0000 0.0000 0.0000
0.0663 0.7184 0.2290
0.7411 0.7099 0.9325
0.7269 0.0624 0.1109
0.9337 0.2816 0.7710
0.2589 0.2901 0.0675
0.2731 0.9376 0.8891
0.4741 0.6896 0.5142
0.5259 0.3104 0.4858


Record 3
CsTl2MoO6, relaxed, DFT PBE with a Hubbard U; final energy = -108.7 eV per cell; symmetry = C2/c, No. 15
1.0
7.5341 -0.1071 -0.1112
2.3795 7.7868 -0.8897
2.3795 -1.1776 7.7485
Cs Tl Mo O
2 4 2 12
Direct
0.2500 0.8698 0.1302
0.7500 0.1302 0.8698
0.3310 0.6953 0.5701
0.1690 0.4299 0.3047
0.6690 0.3047 0.4299
0.8310 0.5701 0.6953
0.2500 0.1930 0.8070
0.7500 0.8070 0.1930
0.2030 0.9872 0.7769
0.2970 0.2231 0.0128
0.7970 0.0128 0.2231
0.7030 0.7769 0.9872
0.5326 0.8197 0.3620
0.9674 0.6380 0.1803
0.4674 0.1803 0.6380
0.0326 0.3620 0.8197
0.0483 0.6773 0.5517
0.4517 0.4483 0.3227
0.9517 0.3227 0.4483
0.5483 0.5517 0.6773


Record 4
Cs2TlMo2O7, relaxed, DFT PBE with a Hubbard U; final energy = -71.5 eV per cell; symmetry = R32, No. 155
1.0
-6.5245 -1.8091 1.3027
-2.6438 -5.6788 -2.8811
-0.4900 -7.0221 6.0403
Cs Tl Mo O
2 1 2 7
Direct
0.7715 0.7715 0.6856
0.2285 0.2285 0.3144
0.5000 0.5000 0.5000
0.9238 0.9238 0.2285
0.0762 0.0762 0.7715
0.1742 0.8156 0.3043
0.7059 0.1742 0.3043
0.8156 0.7059 0.3043
0.2941 0.1844 0.6957
0.8258 0.2941 0.6957
0.0000 0.0000 0.0000
0.1844 0.8258 0.6957


One value per record, in order, for volume: 164.7; 200.7; 451.3; 344.9 Å³ per cell.